i) The following is a PBE-GGA calculation of LiCd2In5 after structural relaxation, from Alexandria via LeMat-Bulk.

Cell and atoms, written as CIF:
```
data_LiCd2In5
_cell_length_a 4.961
_cell_length_b 18.369
_cell_length_c 9.328
_cell_angle_alpha 90.00
_cell_angle_beta 90.00
_cell_angle_gamma 90.00
_symmetry_space_group_name_H-M 'C m c m'
_symmetry_Int_Tables_number 63
_symmetry_space_group_name_Hall '-C 2c 2'
loop_
_atom_site_label
_atom_site_fract_x
_atom_site_fract_y
_atom_site_fract_z
Li1 0.000 0.229 0.250
Cd1 0.000 0.224 0.584
In1 0.000 0.069 0.079
In2 0.000 0.375 0.750
In3 0.000 0.382 0.093
```

## Properties
- Fermi-level density of states (states/eV per cell) = 8.9

ii) The following is a PBE-GGA calculation of LiCd2In5 after structural relaxation, from Alexandria via LeMat-Bulk.

Cell and atoms, written as CIF:
```
data_LiCd2In5
_cell_length_a 4.979
_cell_length_b 10.874
_cell_length_c 14.633
_cell_angle_alpha 90.00
_cell_angle_beta 90.00
_cell_angle_gamma 90.00
_symmetry_space_group_name_H-M 'C m c m'
_symmetry_Int_Tables_number 63
_symmetry_space_group_name_Hall '-C 2c 2'
loop_
_atom_site_label
_atom_site_fract_x
_atom_site_fract_y
_atom_site_fract_z
Li1 0.000 0.229 0.250
Cd1 0.000 0.238 0.648
In1 0.000 0.053 0.102
In2 0.000 0.360 0.046
In3 0.000 0.498 0.750
```

## Properties
- Fermi-level density of states (states/eV per cell) = 10.5

The structure with the least stability is i).

i) The following is a PBE-GGA calculation of LiCd3In3 after structural relaxation, from Alexandria via LeMat-Bulk.

Cell and atoms, written as CIF:
```
data_LiCd3In3
_cell_length_a 8.3660
_cell_length_b 8.3660
_cell_length_c 5.4612
_cell_angle_alpha 90.00
_cell_angle_beta 90.00
_cell_angle_gamma 120.00
_symmetry_space_group_name_H-M 'P 63/m'
_symmetry_Int_Tables_number 176
_symmetry_space_group_name_Hall '-P 6c'
loop_
_atom_site_label
_atom_site_fract_x
_atom_site_fract_y
_atom_site_fract_z
Li1 0.3333 0.6667 0.2500
Cd1 0.0958 0.5952 0.7500
In1 0.0809 0.8294 0.2500
```

## Properties
- Fermi-level density of states (states/eV per cell) = 2.8

ii) The following is a PBE-GGA calculation of LiCd3In3 after structural relaxation, from Alexandria via LeMat-Bulk.

Cell and atoms, written as CIF:
```
data_LiCd3In3
_cell_length_a 8.094
_cell_length_b 8.094
_cell_length_c 8.094
_cell_angle_alpha 90.00
_cell_angle_beta 90.00
_cell_angle_gamma 90.00
_symmetry_space_group_name_H-M 'P m -3 n'
_symmetry_Int_Tables_number 223
_symmetry_space_group_name_Hall '-P 4n 2 3'
loop_
_atom_site_label
_atom_site_fract_x
_atom_site_fract_y
_atom_site_fract_z
Li1 0.000 0.000 0.000
Cd1 0.000 0.250 0.500
In1 0.000 0.500 0.250
```

## Properties
- Fermi-level density of states (states/eV per cell) = 10.8

The structure with the least stability is ii).

i) The following is a PBE-GGA calculation of LiCd4In7 after structural relaxation, from Alexandria via LeMat-Bulk.

Cell and atoms, written as CIF:
```
data_LiCd4In7
_cell_length_a 13.915
_cell_length_b 5.380
_cell_length_c 10.811
_cell_angle_alpha 90.00
_cell_angle_beta 126.56
_cell_angle_gamma 90.00
_symmetry_space_group_name_H-M 'C 1 2/m 1'
_symmetry_Int_Tables_number 12
_symmetry_space_group_name_Hall '-C 2y'
loop_
_atom_site_label
_atom_site_fract_x
_atom_site_fract_y
_atom_site_fract_z
Li1 0.000 0.000 0.000
Cd1 0.065 0.500 0.775
Cd2 0.217 0.500 0.321
In1 0.000 0.500 0.000
In2 0.083 0.000 0.335
In3 0.147 0.500 0.573
In4 0.211 0.000 0.892
```

## Properties
- Fermi-level density of states (states/eV per cell) = 9.4

ii) The following is a PBE-GGA calculation of LiCd4In7 after structural relaxation, from Alexandria via LeMat-Bulk.

Cell and atoms, written as CIF:
```
data_LiCd4In7
_cell_length_a 5.3162
_cell_length_b 5.3162
_cell_length_c 12.4598
_cell_angle_alpha 90.00
_cell_angle_beta 90.00
_cell_angle_gamma 120.00
_symmetry_space_group_name_H-M 'P -3 m 1'
_symmetry_Int_Tables_number 164
_symmetry_space_group_name_Hall '-P 3 2"'
loop_
_atom_site_label
_atom_site_fract_x
_atom_site_fract_y
_atom_site_fract_z
Li1 0.0000 0.0000 0.0000
Cd1 0.3333 0.6667 0.1264
Cd2 0.3333 0.6667 0.3700
In1 0.0000 0.0000 0.2409
In2 0.0000 0.0000 0.5000
In3 0.3333 0.6667 0.6162
In4 0.3333 0.6667 0.8801
```

## Properties
- Fermi-level density of states (states/eV per cell) = 3.2

The structure with the least stability is i).

i) The following is a PBE-GGA calculation of LiCd4In after structural relaxation, from Alexandria via LeMat-Bulk.

Cell and atoms, written as CIF:
```
data_LiCd4In
_cell_length_a 7.225
_cell_length_b 13.452
_cell_length_c 5.954
_cell_angle_alpha 90.00
_cell_angle_beta 109.11
_cell_angle_gamma 90.00
_symmetry_space_group_name_H-M 'C 1 2/c 1'
_symmetry_Int_Tables_number 15
_symmetry_space_group_name_Hall '-C 2yc'
loop_
_atom_site_label
_atom_site_fract_x
_atom_site_fract_y
_atom_site_fract_z
Li1 0.000 0.001 0.250
Cd1 0.113 0.183 0.052
Cd2 0.208 0.367 0.380
In1 0.000 0.428 0.750
```

## Properties
- Fermi-level density of states (states/eV per cell) = 7.6

ii) The following is a PBE-GGA calculation of LiCd4In after structural relaxation, from Alexandria via LeMat-Bulk.

Cell and atoms, written as CIF:
```
data_LiCd4In
_cell_length_a 8.332
_cell_length_b 4.828
_cell_length_c 7.587
_cell_angle_alpha 90.00
_cell_angle_beta 111.02
_cell_angle_gamma 90.00
_symmetry_space_group_name_H-M 'C 1 2/m 1'
_symmetry_Int_Tables_number 12
_symmetry_space_group_name_Hall '-C 2y'
loop_
_atom_site_label
_atom_site_fract_x
_atom_site_fract_y
_atom_site_fract_z
Li1 0.000 0.000 0.000
Cd1 0.137 0.500 0.910
Cd2 0.224 0.000 0.676
In1 0.000 0.500 0.500
```

## Properties
- Fermi-level density of states (states/eV per cell) = 3.8

The structure with the least stability is ii).

i) The following is a PBE-GGA calculation of Li3CdIn6 after structural relaxation, from Alexandria via LeMat-Bulk.

Cell and atoms, written as CIF:
```
data_Li3CdIn6
_cell_length_a 18.3683
_cell_length_b 18.3683
_cell_length_c 3.1788
_cell_angle_alpha 90.00
_cell_angle_beta 90.00
_cell_angle_gamma 120.00
_symmetry_space_group_name_H-M 'R 3 m'
_symmetry_Int_Tables_number 160
_symmetry_space_group_name_Hall 'R 3 -2"'
loop_
_atom_site_label
_atom_site_fract_x
_atom_site_fract_y
_atom_site_fract_z
Li1 0.0067 0.5034 0.0000
Cd1 0.0000 0.0000 0.2870
In1 0.0878 0.1756 0.7930
In2 0.1893 0.0946 0.2027
```

## Properties
- Fermi-level density of states (states/eV per cell) = 8.8

ii) The following is a PBE-GGA calculation of Li3CdIn6 after structural relaxation, from Alexandria via LeMat-Bulk.

Cell and atoms, written as CIF:
```
data_Li3CdIn6
_cell_length_a 12.9937
_cell_length_b 12.9937
_cell_length_c 9.4308
_cell_angle_alpha 90.00
_cell_angle_beta 90.00
_cell_angle_gamma 120.00
_symmetry_space_group_name_H-M 'R -3'
_symmetry_Int_Tables_number 148
_symmetry_space_group_name_Hall '-R 3'
loop_
_atom_site_label
_atom_site_fract_x
_atom_site_fract_y
_atom_site_fract_z
Li1 0.0076 0.8660 0.2432
Cd1 0.0000 0.0000 0.0000
Cd2 0.0000 0.0000 0.5000
In1 0.0371 0.7836 0.9102
In2 0.0616 0.4880 0.1392
```

## Properties
- Fermi-level density of states (states/eV per cell) = 20.4

The structure with the least stability is i).